Entry 1:
Here is a relaxed structure of YCoPb4 from Alexandria via LeMat-Bulk. Energies are from PBE.

Cell: 6.327 6.327 6.327 Å, 60.00 60.00 60.00°
Atoms (fractional coordinates):
Y 0.000 0.000 0.000
Co 0.750 0.750 0.750
Pb 0.374 0.374 0.374
Pb 0.374 0.374 0.877
Pb 0.374 0.877 0.374
Pb 0.877 0.374 0.374

Entry 2:
Here is a relaxed structure of Y2CoPb from Alexandria via LeMat-Bulk. Energies are from PBE.

Cell: 3.649 4.559 6.374 Å, 90.00 90.00 90.00°
Atoms (fractional coordinates):
Y 0.000 0.000 0.000
Y 0.500 0.500 0.329
Co 0.000 0.000 0.409
Pb 0.500 0.500 0.807

Entry 3:
Here is a relaxed structure of Y2CoPb from Alexandria via LeMat-Bulk. Energies are from PBE.

Cell: 3.439 3.439 8.055 Å, 90.00 90.00 90.00°
Atoms (fractional coordinates):
Y 0.000 0.000 0.203
Y 0.000 0.000 0.797
Co 0.500 0.500 0.000
Pb 0.500 0.500 0.500

Entry 4:
Here is a relaxed structure of Y3CoPb from Alexandria via LeMat-Bulk. Energies are from PBE.

Relative energy among the computed polymorphs: 251 meV/atom

Cell: 6.013 9.482 9.252 Å, 90.00 90.00 90.00°
Atoms (fractional coordinates):
Y 0.036 0.072 0.158
Y 0.036 0.428 0.158
Y 0.249 0.750 0.347
Y 0.251 0.250 0.847
Y 0.464 0.572 0.658
Y 0.464 0.928 0.658
Y 0.536 0.072 0.342
Y 0.536 0.428 0.342
Y 0.749 0.750 0.153
Y 0.751 0.250 0.653
Y 0.964 0.572 0.842
Y 0.964 0.928 0.842
Co 0.169 0.750 0.044
Co 0.331 0.250 0.544
Co 0.669 0.750 0.456
Co 0.831 0.250 0.956
Pb 0.000 0.000 0.500
Pb 0.000 0.500 0.500
Pb 0.500 0.000 0.000
Pb 0.500 0.500 0.000

Entry 5:
Here is a relaxed structure of Y3CoPb from Alexandria via LeMat-Bulk. Energies are from PBE.

Relative energy among the computed polymorphs: 375 meV/atom

Cell: 7.347 7.347 6.157 Å, 90.00 90.00 126.92°
Atoms (fractional coordinates):
Y 0.000 0.000 0.000
Y 0.000 0.000 0.500
Y 0.056 0.438 0.250
Y 0.438 0.056 0.750
Y 0.562 0.944 0.250
Y 0.944 0.562 0.750
Co 0.169 0.831 0.250
Co 0.831 0.169 0.750
Pb 0.438 0.562 0.750
Pb 0.562 0.438 0.250

Entry 6:
Here is a relaxed structure of Y3CoPb from Alexandria via LeMat-Bulk. Energies are from PBE.

Relative energy among the computed polymorphs: 24 meV/atom

Cell: 5.968 6.717 7.100 Å, 109.36 100.08 93.21°
Atoms (fractional coordinates):
Y 0.176 0.123 0.249
Y 0.234 0.668 0.357
Y 0.321 0.618 0.846
Y 0.679 0.382 0.154
Y 0.766 0.332 0.643
Y 0.824 0.877 0.751
Co 0.080 0.345 0.995
Co 0.920 0.655 0.005
Pb 0.322 0.090 0.747
Pb 0.678 0.910 0.253

| no. | energy of formation (eV per atom) |
| --- | --- |
| 1 | 0.50 |
| 2 | 0.02 |
| 3 | -0.31 |
| 4 | -0.10 |
| 5 | 0.03 |
| 6 | -0.33 |